1.
Crystalline Hf2CrSn at its relaxed geometry. Source: Alexandria, functional PBE-GGA.

Unit cell a=3.100 b=3.100 c=10.589 alpha=81.58 beta=81.58 gamma=60.00
Each line ends with the local moment (μB).
Element x y z (fractional)
Hf 0.915 0.915 0.255  -0.16
Cr 0.000 0.000 0.000  3.30
Sn 0.500 0.500 0.500  0.02
Hf 0.085 0.085 0.745  -0.16

**DFT formation energy**: 0.50 eV/atom
**SG**: R-3m (166)

***

2.
Crystalline CsRbSr2Rh at its relaxed geometry. Source: Alexandria, functional PBE-GGA.

Unit cell a=5.975 b=5.975 c=7.121 alpha=90.00 beta=90.00 gamma=90.00
Element x y z (fractional)
Cs 0.500 0.500 0.500
Sr 0.000 0.500 0.000
Sr 0.500 0.000 0.000
Rb 0.000 0.000 0.500
Rh 0.000 0.000 0.000

**DFT formation energy**: 0.11 eV/atom
**SG**: P4/mmm (123)

***

3.
Crystalline V2TcGe3 at its relaxed geometry. Source: Alexandria, functional PBE-GGA.

Unit cell a=7.566 b=6.932 c=6.932 alpha=145.13 beta=99.45 gamma=99.45
Each line ends with the local moment (μB).
Element x y z (fractional)
Tc 0.250 0.582 0.418  0.00
Ge 0.994 0.165 0.322  0.00
V 0.250 0.264 0.736  -0.13
Ge 0.500 0.000 0.500  0.00
V 0.250 0.903 0.097  0.54
V 0.750 0.736 0.264  -0.13
Ge 0.000 0.500 0.000  0.00
V 0.750 0.097 0.903  0.54
Ge 0.494 0.322 0.165  0.00
Ge 0.006 0.835 0.678  0.00
Ge 0.506 0.678 0.835  0.00
Tc 0.750 0.418 0.582  0.00

**DFT formation energy**: -0.03 eV/atom
**SG**: C2/c (15)

***

4.
Crystalline Zr6IrOs at its relaxed geometry. Source: Alexandria, functional PBE-GGA.

Unit cell a=4.675 b=4.675 c=8.153 alpha=73.34 beta=73.34 gamma=90.00
Element x y z (fractional)
Ir 0.000 0.000 0.000
Zr 0.750 0.749 0.501
Zr 0.110 0.610 0.780
Zr 0.610 0.110 0.780
Zr 0.250 0.251 0.499
Zr 0.390 0.890 0.220
Zr 0.890 0.390 0.220
Os 0.500 0.500 0.000

**DFT formation energy**: -0.33 eV/atom
**SG**: I4/mmm (139)

***

5.
Crystalline SrAsP at its relaxed geometry. Source: Alexandria, functional PBE-GGA.

Unit cell a=4.859 b=4.859 c=4.859 alpha=60.00 beta=60.00 gamma=60.00
Element x y z (fractional)
As 0.500 0.500 0.500
Sr 0.000 0.000 0.000
P 0.750 0.750 0.750

**Energy above the most stable polymorph in this dataset**: 0.413 eV per atom
**DFT formation energy**: -0.25 eV/atom
**SG**: F-43m (216)

***

6.
Crystalline TaSiTeN2 at its relaxed geometry. Source: Alexandria, functional PBE-GGA.

Unit cell a=4.040 b=4.040 c=5.755 alpha=90.00 beta=90.00 gamma=90.00
Element x y z (fractional)
N 0.000 0.500 0.000
N 0.500 0.000 0.000
Ta 0.000 0.000 0.000
Te 0.000 0.000 0.500
Si 0.500 0.500 0.500

**Energy above the most stable polymorph in this dataset**: 0.000 eV per atom
**ΔE_f (raw)**: 10.67 kcal/mol of atoms
**SG**: P4/mmm (123)

***

7.
Crystalline TaCo2MoH at its relaxed geometry. Source: Alexandria, functional PBE-GGA.

Unit cell a=3.761 b=3.761 c=3.968 alpha=90.00 beta=90.00 gamma=90.00
Element x y z (fractional)
Co 0.500 0.000 0.000
Mo 0.500 0.500 0.500
H 0.000 0.000 0.000
Ta 0.000 0.000 0.500
Co 0.000 0.500 0.000

**Energy above the most stable polymorph in this dataset**: 0.030 eV per atom
**SG**: P4/mmm (123)

***

8.
Crystalline LaSm12Er6 at its relaxed geometry. Source: Alexandria, functional PBE-GGA.

Unit cell a=8.792 b=8.792 c=8.792 alpha=99.04 beta=99.04 gamma=99.04
Element x y z (fractional)
Sm 0.645 0.645 0.919
Er 0.898 0.340 0.898
Sm 0.081 0.355 0.355
Sm 0.759 0.241 0.500
Er 0.340 0.898 0.898
Er 0.660 0.102 0.102
Sm 0.355 0.081 0.355
Sm 0.355 0.355 0.081
Er 0.898 0.898 0.340
Sm 0.500 0.759 0.241
Sm 0.241 0.759 0.500
Sm 0.759 0.500 0.241
Sm 0.645 0.919 0.645
Er 0.102 0.660 0.102
Sm 0.500 0.241 0.759
Sm 0.919 0.645 0.645
Sm 0.241 0.500 0.759
La 0.000 0.000 0.000
Er 0.102 0.102 0.660

**Energy above the most stable polymorph in this dataset**: 0.056 eV per atom
**DFT formation energy**: 0.20 eV/atom
**SG**: R-3m (166)

***

9.
Crystalline PrNd8Y5 at its relaxed geometry. Source: Alexandria, functional PBE-GGA.

Unit cell a=8.635 b=8.635 c=8.635 alpha=111.58 beta=105.33 gamma=111.58
Element x y z (fractional)
Y 0.039 0.315 0.130
Nd 0.570 0.913 0.840
Y 0.500 0.000 0.500
Nd 0.927 0.087 0.657
Nd 0.343 0.270 0.430
Nd 0.727 0.259 0.330
Y 0.815 0.685 0.724
Nd 0.160 0.730 0.073
Y 0.870 0.908 0.185
Pr 0.250 0.500 0.750
Nd 0.670 0.396 0.929
Nd 0.071 0.741 0.468
Nd 0.532 0.604 0.273
Y 0.276 0.092 0.961

**DFT formation energy**: 0.24 eV/atom
**SG**: I-4 (82)

***

10.
Crystalline LiCaZr2 at its relaxed geometry. Source: Alexandria, functional PBE-GGA.

Unit cell a=6.220 b=6.220 c=3.110 alpha=90.00 beta=90.00 gamma=124.26
Element x y z (fractional)
Zr 0.000 0.000 0.000
Zr 0.500 0.500 0.000
Li 0.000 0.500 0.500
Ca 0.500 0.000 0.500

**Energy above the most stable polymorph in this dataset**: 0.283 eV per atom
**DFT formation energy**: 0.45 eV/atom
**SG**: Cmmm (65)

***

11.
Crystalline TiMn2Zn2 at its relaxed geometry. Source: Alexandria, functional PBE-GGA.

Unit cell a=3.472 b=3.472 c=6.364 alpha=74.17 beta=74.17 gamma=90.00
Each line ends with the local moment (μB).
Element x y z (fractional)
Mn 0.250 0.750 0.500  1.40
Mn 0.750 0.250 0.500  1.40
Zn 0.400 0.400 0.201  -0.04
Zn 0.600 0.600 0.799  -0.04
Ti 0.000 0.000 0.000  -0.66

**Energy above the most stable polymorph in this dataset**: 0.130 eV per atom
**DFT formation energy**: 0.25 eV/atom
**SG**: I4/mmm (139)

***

12.
Crystalline TcNi2Cl at its relaxed geometry. Source: Alexandria, functional PBE-GGA.

Unit cell a=2.799 b=2.799 c=8.118 alpha=90.00 beta=90.00 gamma=119.63
Each line ends with the local moment (μB).
Element x y z (fractional)
Ni 0.000 0.000 0.001  0.44
Ni 0.500 0.500 0.244  0.49
Tc 0.000 0.000 0.497  0.65
Cl 0.500 0.500 0.757  0.03

**Energy above the most stable polymorph in this dataset**: 0.361 eV per atom
**ΔE_f (raw)**: 12.73 kcal/mol of atoms
**SG**: Cmm2 (35)